1.
Below is a geometry-optimized Be2CoSb structure, with properties calculated at the PBEsol level.

Cell lengths 3.601, 3.645, 3.645 Å; angles 90.00, 90.00, 90.00 degrees
Fractional positions:
Be (0.000, 0.000, 0.500)
Be (0.000, 0.500, 0.000)
Sb (0.500, 0.000, 0.000)
Co (0.500, 0.500, 0.500)

Output
Uncorrected formation energy in eV per atom: 0.21

***

2.
Below is a geometry-optimized BeCo3Sb structure, with properties calculated at the PBEsol level.

Cell lengths 4.512, 4.512, 4.512 Å; angles 90.00, 90.00, 90.00 degrees
Fractional positions:
Co (0.000, 0.000, 0.500)
Co (0.500, 0.000, 0.000)
Co (0.000, 0.500, 0.000)
Be (0.500, 0.500, 0.500)
Sb (0.000, 0.000, 0.000)

Output
Uncorrected formation energy in eV per atom: 1.61

***

3.
Below is a geometry-optimized BeCoSb2 structure, with properties calculated at the PBEsol level.

Cell lengths 4.001, 4.685, 4.685 Å; angles 61.93, 64.72, 64.72 degrees
Fractional positions:
Co (0.000, 0.500, 0.500)
Sb (0.754, 0.246, 0.246)
Sb (0.246, 0.754, 0.754)
Be (0.500, 0.000, 0.000)

Output
Uncorrected formation energy in eV per atom: 0.48